This record from the Alexandria database describes a relaxed BaTc4Ru crystal. The functional is GGA-PBE.

Cell lengths 5.3518, 5.3518, 5.3518 Å; angles 60.00, 60.00, 60.00 degrees
Atoms (fractional coordinates):
Tc: 0.3735 0.8795 0.3735
Tc: 0.3735 0.3735 0.3735
Tc: 0.3735 0.3735 0.8795
Tc: 0.8795 0.3735 0.3735
Ru: 0.0000 0.0000 0.0000
Ba: 0.7500 0.7500 0.7500

Properties
SG ... F-43m, No. 216
DFT total energy ... -7.847 eV/atom
Volume ... 18.065 A^3/atom
ρ ... 9.66 g cm⁻³
Energy of formation from the pure elements ... 0.930 eV per atom